LaMgSe2Br: relaxed, PBE.

Structure (CIF):
```
data_LaMgSe2Br
_symmetry_space_group_name_H-M 'P 1'
_symmetry_Int_Tables_number 1
_symmetry_space_group_name_Hall 'P 1'
_cell_length_a 5.7940
_cell_length_b 5.7940
_cell_length_c 5.7037
_cell_angle_alpha 90.00
_cell_angle_beta 90.00
_cell_angle_gamma 90.00
loop_
_atom_site_label
_atom_site_fract_x
_atom_site_fract_y
_atom_site_fract_z
Mg1 0.5000 0.5000 0.5000
Se1 0.0000 0.5000 0.0000
La1 0.0000 0.0000 0.0000
Se2 0.5000 0.0000 0.0000
Br1 0.0000 0.0000 0.5000
```

The formation energy without anion corrections comes out at -797 meV per atom. For the density of states at the Fermi level, the calculation gives 2.9 states/eV/cell. The value obtained for the final energy is -3.83 eV per atom. As for the polymorph energy (0 for the lowest one): 0.4756 eV per atom.

***

HfGaTc2: relaxed, PBE.

Structure (CIF):
```
data_HfGaTc2
_symmetry_space_group_name_H-M 'P 1'
_symmetry_Int_Tables_number 1
_symmetry_space_group_name_Hall 'P 1'
_cell_length_a 3.3176
_cell_length_b 4.3769
_cell_length_c 4.3769
_cell_angle_alpha 90.00
_cell_angle_beta 90.00
_cell_angle_gamma 90.00
loop_
_atom_site_label
_atom_site_fract_x
_atom_site_fract_y
_atom_site_fract_z
Ga1 0.5000 0.0000 0.0000
Tc1 0.0000 0.5000 0.0000
Tc2 0.0000 0.0000 0.5000
Hf1 0.5000 0.5000 0.5000
```

For the density of states at the Fermi level, the calculation gives 5.0 states/eV/cell. The energy of formation from the pure elements is -0.281 eV per atom. The value obtained for the final energy is -8.71 eV per atom.

***

MgSiOs2: relaxed, PBE.

Structure (CIF):
```
data_MgSiOs2
_symmetry_space_group_name_H-M 'P 1'
_symmetry_Int_Tables_number 1
_symmetry_space_group_name_Hall 'P 1'
_cell_length_a 2.9971
_cell_length_b 2.9971
_cell_length_c 6.3136
_cell_angle_alpha 90.00
_cell_angle_beta 90.00
_cell_angle_gamma 90.00
loop_
_atom_site_label
_atom_site_fract_x
_atom_site_fract_y
_atom_site_fract_z
Mg1 0.5000 0.5000 0.7500
Os1 0.0000 0.0000 0.0329
Si1 0.5000 0.5000 0.2500
Os2 0.0000 0.0000 0.4671
```

The formation energy without anion corrections comes out at -55 meV per atom. For the density of states at the Fermi level, the calculation gives 4.7 states/eV/cell. The value obtained for the final energy is -7.42 eV per atom.

***

KFeSe2: relaxed, PBE.

Structure (CIF):
```
data_KFeSe2
_symmetry_space_group_name_H-M 'P 1'
_symmetry_Int_Tables_number 1
_symmetry_space_group_name_Hall 'P 1'
_cell_length_a 3.5012
_cell_length_b 4.6258
_cell_length_c 7.0521
_cell_angle_alpha 90.32
_cell_angle_beta 90.00
_cell_angle_gamma 90.00
loop_
_atom_site_label
_atom_site_fract_x
_atom_site_fract_y
_atom_site_fract_z
Se1 0.0000 0.2484 0.4827
Se2 0.0000 0.2516 0.0173
K1 0.5000 0.7500 0.7500
Fe1 0.5000 0.2500 0.2500
```

The formation energy without anion corrections comes out at -482 meV per atom. For the density of states at the Fermi level, the calculation gives 3.1 states/eV/cell. The value obtained for the final energy is -4.61 eV per atom.

***

LiYF4: relaxed, PBE.

Structure (CIF):
```
data_LiYF4
_symmetry_space_group_name_H-M 'P 1'
_symmetry_Int_Tables_number 1
_symmetry_space_group_name_Hall 'P 1'
_cell_length_a 5.9851
_cell_length_b 5.9851
_cell_length_c 5.9851
_cell_angle_alpha 107.99
_cell_angle_beta 107.99
_cell_angle_gamma 112.47
loop_
_atom_site_label
_atom_site_fract_x
_atom_site_fract_y
_atom_site_fract_z
F1 0.6343 0.9496 0.6847
F2 0.6996 0.5149 0.8153
F3 0.0504 0.3657 0.3153
F4 0.4851 0.3004 0.1847
F5 0.6996 0.8843 0.1847
Li1 0.5000 0.5000 0.0000
F6 0.2649 0.9496 0.3153
F7 0.0504 0.7351 0.6847
Y1 0.0000 0.0000 0.0000
F8 0.1157 0.3004 0.8153
Y2 0.7500 0.2500 0.5000
Li2 0.2500 0.7500 0.5000
```

The formation energy without anion corrections comes out at -3745 meV per atom. For the density of states at the Fermi level, the calculation gives 0.0 states/eV/cell. The value obtained for the final energy is -6.39 eV per atom. As for the polymorph energy (0 for the lowest one): 0.0120 eV per atom.

***

LiPSe2: relaxed, PBE.

Structure (CIF):
```
data_LiPSe2
_symmetry_space_group_name_H-M 'P 1'
_symmetry_Int_Tables_number 1
_symmetry_space_group_name_Hall 'P 1'
_cell_length_a 6.2894
_cell_length_b 7.3568
_cell_length_c 9.0010
_cell_angle_alpha 90.00
_cell_angle_beta 90.00
_cell_angle_gamma 90.00
loop_
_atom_site_label
_atom_site_fract_x
_atom_site_fract_y
_atom_site_fract_z
P1 0.3641 0.1457 0.6350
Se1 0.5156 0.8705 0.3482
Se2 0.4824 0.9593 0.8354
Li1 0.3998 0.5447 0.3813
Li2 0.8998 0.4552 0.6187
Se3 0.9824 0.0407 0.1646
Li3 0.8998 0.9552 0.8813
Se4 0.5156 0.3705 0.1518
Se5 0.4824 0.4593 0.6646
Se6 0.9824 0.5407 0.3354
P2 0.8641 0.3543 0.1349
P3 0.3641 0.6457 0.8651
P4 0.8641 0.8543 0.3651
Se7 0.0156 0.1296 0.6518
Li4 0.3998 0.0447 0.1187
Se8 0.0156 0.6296 0.8482
```

The formation energy without anion corrections comes out at -403 meV per atom. For the density of states at the Fermi level, the calculation gives 0.1 states/eV/cell. The value obtained for the final energy is -3.98 eV per atom.

***

Q: Which of these has the highest final energy?
A: LaMgSe2Br